No. 1
VASP calculation (PBE) on an optimized crystal structure of MgOs2Br.

The value obtained for the relative energy among the computed polymorphs is 181 meV per atom. The value obtained for the theoretical density is 9.21 g/cm³. The calculation puts the size of the total moment at 0.00 μB/cell. The uncorrected energy comes out at -5.9964 eV per atom. As for the density of states at the Fermi level: 3.0 states/eV/f.u.

The space group is Cm (No. 8) and the conventional cell measures 7.3865, 3.5691 and 7.2301 Å, with angles of 90.00, 113.54 and 90.00 degrees. Symmetry generates all atoms from Mg at (0.0000, 0.0000, 0.0000), Os at (0.2000, 0.0000, 0.7425), Os at (0.4670, 0.0000, 0.6350) and Br at (0.2781, 0.5000, 0.2683).

No. 2
VASP calculation (PBE) on an optimized crystal structure of PuAs2W.

The value obtained for the theoretical density is 11.29 g/cm³. The calculation puts the size of the total moment at 18.29 μB/cell. The uncorrected energy comes out at -9.0572 eV per atom. For the formation energy, the calculation gives 0.0888 eV/atom. As for the density of states at the Fermi level: 8.7 states/eV/f.u.

The space group is R-3m (No. 166, hexagonal axes) and the conventional cell measures 3.1881, 3.1881 and 28.9561 Å, with angles of 90.00, 90.00 and 120.00 degrees. Symmetry generates all atoms from Pu at (0.0000, 0.0000, 0.0000), As at (0.0000, 0.0000, 0.1037) and W at (0.0000, 0.0000, 0.5000).

No. 3
VASP calculation (PBE) on an optimized crystal structure of ZnTe2.

The value obtained for the theoretical density is 5.95 g/cm³. The calculation puts the size of the total moment at 0.00 μB/cell. The uncorrected energy comes out at -2.5955 eV per atom. As for the density of states at the Fermi level: 1.2 states/eV/f.u.

The space group is C2/m (No. 12) and the conventional cell measures 7.9766, 3.1680 and 21.4767 Å, with angles of 90.00, 98.48 and 90.00 degrees. Symmetry generates all atoms from Zn at (0.0000, 0.0000, 0.0000), Zn at (0.0116, 0.0000, 0.3362), Te at (0.0401, 0.0000, 0.2180), Te at (0.1755, 0.5000, 0.5940) and Te at (0.2237, 0.0000, 0.9157).